1.
VASP calculation (PBE) on CsLi3Pa2Te6 after structural relaxation.

a = 4.443 Å, b = 11.012 Å, c = 9.268 Å
α = 97.35°, β = 103.87°, γ = 90.00°
Site moments in Bohr magnetons follow the coordinates.
Fractional positions:
Pa (0.830, 0.655, 0.660)  0.98
Te (0.995, 0.706, 0.989)  -0.03
Te (0.005, 0.294, 0.011)  -0.03
Te (0.705, 0.170, 0.411)  -0.03
Li (0.500, 0.500, 0.000)  0.00
Te (0.661, 0.545, 0.321)  -0.03
Cs (0.500, 0.000, 0.000)  0.00
Li (0.851, 0.299, 0.702)  0.00
Pa (0.170, 0.345, 0.340)  0.98
Te (0.295, 0.830, 0.589)  -0.03
Te (0.339, 0.455, 0.679)  -0.03
Li (0.149, 0.701, 0.298)  0.00

Properties
E_tot	-4.6089	eV per atom
space group	No. 12
raw formation energy	-0.91	eV/atom



2.
VASP calculation (PBE) on Cs6K2PdAu after structural relaxation.

a = 10.185 Å, b = 10.185 Å, c = 10.175 Å
α = 120.06°, β = 120.06°, γ = 89.90°
Fractional positions:
Cs (0.743, 0.743, 0.485)
Pd (0.499, 0.499, 0.997)
Cs (0.255, 0.256, 0.511)
Cs (0.256, 0.257, 0.000)
Au (0.999, 0.999, 0.997)
Cs (0.744, 0.257, 0.000)
Cs (0.257, 0.744, 0.000)
K (0.251, 0.752, 0.503)
Cs (0.744, 0.745, 0.001)
K (0.751, 0.252, 0.503)

Properties
E_tot	-1.6133	eV per atom
calculated formation energy	-0.0346	eV/atom
space group	No. 42



3.
VASP calculation (PBE) on ZrAgTe after structural relaxation.

a = 5.620 Å, b = 5.620 Å, c = 3.645 Å
α = 71.07°, β = 71.08°, γ = 37.85°
Fractional positions:
Ag (0.001, 0.001, 0.999)
Zr (0.670, 0.670, 0.330)
Te (0.328, 0.328, 0.672)

Properties
E_tot	-5.0946	eV per atom
space group	No. 107
raw formation energy	-0.25	eV/atom
ΔE to the lowest computed polymorph	0.00	eV per formula unit